Entry from the Alexandria database: a relaxed Pm6SiI8 crystal (PBE).

Calculated values
For the total energy, the calculation gives -4.272 eV per atom. The spin magnetization comes out at 0.000 μB per formula unit. The energy relative to the elements, uncorrected is -1183.5 meV/atom.

Cell: 7.7495 7.7495 12.1750 Å, 71.44 71.44 60.00°
Fractional positions:
Pm: 0.7609 0.0494 0.8519
I: 0.5461 0.8941 0.3176
I: 0.6667 0.6667 0.0000
I: 0.8941 0.2421 0.3176
Pm: 0.2391 0.9506 0.1481
I: 0.3333 0.3333 0.0000
Si: 0.0000 0.0000 0.0000
Pm: 0.6622 0.2391 0.1481
Pm: 0.9506 0.6622 0.1481
I: 0.4539 0.1059 0.6824
I: 0.1059 0.7579 0.6824
I: 0.2421 0.5461 0.3176
Pm: 0.3378 0.7609 0.8519
Pm: 0.0494 0.3378 0.8519
I: 0.7579 0.4539 0.6824